The following is a DFT calculation (GGA-PBE) of crystalline Pa2CrRuN6 at its relaxed geometry.

a = 4.1638 Å, b = 5.4744 Å, c = 5.4744 Å
α = 90.00°, β = 90.00°, γ = 90.00°
With the nearest neighbours (Å) after each atom.
Fractional coordinates of all 10 atoms:
1 Pa 0.9941 0.5000 0.0000  4 N 2.26
2 Pa 0.9941 0.0000 0.5000  4 N 2.26
3 Cr 0.5804 0.0000 0.0000  1 N 1.64
4 Ru 0.6611 0.5000 0.5000  6 N 2.04-2.08
5 N 0.7170 0.2380 0.2380  1 Cr 1.93, 1 Ru 2.04
6 N 0.7170 0.2380 0.7620  1 Cr 1.93, 1 Ru 2.04
7 N 0.1618 0.5000 0.5000  2 Ru 2.08
8 N 0.1872 0.0000 0.0000  1 Cr 1.64
9 N 0.7170 0.7620 0.7620  1 Cr 1.93, 1 Ru 2.04
10 N 0.7170 0.7620 0.2380  1 Cr 1.93, 1 Ru 2.04

Summary:
VASP energy (Ry/atom): -0.6927
Theoretical density (Mg/m³): 9.3
E_form (uncorrected) (eV/atom): -0.64
M_tot (μB per formula unit): 0.62